Entry 1:
The following is a PBE-GGA calculation of a geometry-optimized AcLuPt2 structure, from Alexandria.

It has space group Fm-3m (No. 225), with a = 7.245 Å, b = 7.245 Å, c = 7.245 Å, α = 90.00°, β = 90.00° and γ = 90.00°. The inequivalent atoms are Ac at (0.000, 0.000, 0.000), Lu at (0.000, 0.000, 0.500) and Pt at (0.250, 0.250, 0.250).

The calculation puts the formation energy at -1.034 eV per atom. The value obtained for the energy relative to the lowest polymorph listed for this composition is 135 meV/atom. The density of states at the Fermi level comes out at 8.7 states/eV per cell.

=====

Entry 2:
The following is a PBE-GGA calculation of a geometry-optimized Rb2NaCuSe2 structure, from Alexandria.

It has space group Ibam (No. 72), with a = 6.724 Å, b = 15.339 Å, c = 6.645 Å, α = 90.00°, β = 90.00° and γ = 90.00°. The inequivalent atoms are Rb at (0.247, 0.169, 0.000), Na at (0.000, 0.500, 0.250), Cu at (0.000, 0.000, 0.250) and Se at (0.217, 0.092, 0.500).

For the formation energy from raw total energies, the calculation gives -468 kJ/mol of formula units.

=====

Entry 3:
The following is a PBE-GGA calculation of a geometry-optimized TaCd2Ag structure, from Alexandria.

It has space group Imm2 (No. 44), with a = 2.840 Å, b = 5.260 Å, c = 10.620 Å, α = 90.00°, β = 90.00° and γ = 90.00°. The inequivalent atoms are Ta at (0.000, 0.000, 0.000), Cd at (0.000, 0.000, 0.488), Cd at (0.000, 0.500, 0.249) and Ag at (0.000, 0.500, 0.740).

The calculation puts the formation energy at 0.349 eV per atom. The value obtained for the energy relative to the lowest polymorph listed for this composition is 200 meV/atom. The density of states at the Fermi level comes out at 5.4 states/eV per cell.

=====

Entry 4:
The following is a PBE-GGA calculation of a geometry-optimized Li2PPb structure, from Alexandria.

It has space group R-3m (No. 166, hexagonal axes), with a = 3.2243 Å, b = 3.2243 Å, c = 26.3380 Å, α = 90.00°, β = 90.00° and γ = 120.00°. The inequivalent atoms are Li at (0.0000, 0.0000, 0.2335), P at (0.0000, 0.0000, 0.5000) and Pb at (0.0000, 0.0000, 0.0000).

The calculation puts the formation energy at -0.175 eV per atom. The value obtained for the energy relative to the lowest polymorph listed for this composition is 148 meV/atom. The density of states at the Fermi level comes out at 3.1 states/eV per cell.

=====

Entry 5:
The following is a PBE-GGA calculation of a geometry-optimized LiNd2Ag5 structure, from Alexandria.

It has space group I4/mmm (No. 139), with a = 4.985 Å, b = 4.985 Å, c = 14.100 Å, α = 90.00°, β = 90.00° and γ = 90.00°. The inequivalent atoms are Li at (0.000, 0.000, 0.000), Nd at (0.000, 0.000, 0.261), Ag at (0.000, 0.000, 0.500) and Ag at (0.000, 0.500, 0.103).

The calculation puts the formation energy at -0.179 eV per atom. The density of states at the Fermi level comes out at 8.2 states/eV per cell.

=====

Entry 6:
The following is a PBE-GGA calculation of a geometry-optimized Ac4Hg3Ge5 structure, from Alexandria.

It has space group C2/m (No. 12), with a = 15.304 Å, b = 4.834 Å, c = 12.499 Å, α = 90.00°, β = 121.23° and γ = 90.00°. The inequivalent atoms are Ac at (0.103, 0.000, 0.436), Ac at (0.243, 0.500, 0.184), Hg at (0.000, 0.000, 0.000), Hg at (0.119, 0.500, 0.875), Ge at (0.000, 0.500, 0.000), Ge at (0.066, 0.500, 0.622) and Ge at (0.233, 0.500, 0.633).

The calculation puts the formation energy at -0.372 eV per atom. The density of states at the Fermi level comes out at 8.6 states/eV per cell.